An optimized crystal structure of La3TeW. Source: Alexandria via LeMat-Bulk, functional GGA-PBE.

POSCAR file:
```
La3TeW
1.0
-5.5220 -0.3468 0.1972
0.0337 -3.1322 -4.5651
0.3975 -4.5520 3.1261
Te W La
1 1 3
Direct
0.5000 0.5000 0.5000 Te
0.0000 0.0000 0.0000 W
0.0000 0.5000 0.0000 La
0.0000 0.0000 0.5000 La
0.5000 0.0000 0.0000 La
```

Properties
raw formation energy = -0.04 eV/atom
E_tot = -0.457 Ry/atom
relative energy among the computed polymorphs = 0 kJ/mol of formula units